The following is a DFT calculation (GGA-PBE) of crystalline SnHS3 at its relaxed geometry.

Cell: 4.295 4.295 4.295 Å, 90.00 90.00 90.00°
Sites, in units of the cell vectors:
Sn1 0.000 0.000 0.000
H1 0.500 0.500 0.500
S1 0.000 0.500 0.500
S2 0.500 0.000 0.500
S3 0.500 0.500 0.000

Summary:
uncorrected energy = -16.26 eV per formula unit
magnetic moment = 0.00 Bohr magnetons per cell
offset from the most stable computed form = 289 meV/atom

---

The following is a DFT calculation (GGA-PBE) of crystalline SnH2S at its relaxed geometry.

Cell: 5.828 5.828 5.828 Å, 32.77 32.77 32.77°
Sites, in units of the cell vectors:
Sn1 0.000 0.000 0.000
H1 0.140 0.140 0.140
H2 0.860 0.860 0.860
S1 0.500 0.500 0.500

Summary:
uncorrected energy = -12.48 eV per formula unit
magnetic moment = 0.00 Bohr magnetons per cell
offset from the most stable computed form = 796 meV/atom

---

The following is a DFT calculation (GGA-PBE) of crystalline SnH4S at its relaxed geometry.

Cell: 4.800 4.943 9.919 Å, 104.38 90.69 90.10°
Sites, in units of the cell vectors:
Sn1 0.248 0.046 0.433
Sn2 0.752 0.954 0.567
H1 0.056 0.523 0.852
H2 0.244 0.832 0.265
H3 0.248 0.384 0.413
H4 0.459 0.532 0.859
H5 0.541 0.468 0.141
H6 0.752 0.616 0.587
H7 0.756 0.168 0.735
H8 0.944 0.477 0.148
S1 0.254 0.725 0.881
S2 0.746 0.275 0.119

Summary:
uncorrected energy = -21.32 eV per formula unit
magnetic moment = 0.00 Bohr magnetons per cell

---

The following is a DFT calculation (GGA-PBE) of crystalline SrSnH2S at its relaxed geometry.

Cell: 4.364 4.364 5.867 Å, 90.00 90.00 90.00°
Sites, in units of the cell vectors:
Sr1 0.000 0.000 0.000
Sn1 0.500 0.500 0.500
H1 0.000 0.500 0.000
H2 0.500 0.000 0.000
S1 0.000 0.000 0.500

Summary:
uncorrected energy = -17.29 eV per formula unit
magnetic moment = 0.00 Bohr magnetons per cell